Density functional theory data (PBE+U) for crystalline Cs3Mg2VF9 at its relaxed geometry.

Output
Electronic total energy ... -0.3702 Ry per atom
Space-group type ... P-3m1, No. 164
DOS(E_F) ... 0.00 states/eV/f.u.

Lattice parameters (Å, degrees): 6.054 6.054 7.416 90.00 90.00 120.00
Element x y z (fractional)
Cs 0.000 0.000 0.000
Cs 0.333 0.667 0.665
Cs 0.667 0.333 0.335
Mg 0.333 0.667 0.162
Mg 0.667 0.333 0.838
V 0.000 0.000 0.500
F 0.000 0.500 0.000
F 0.171 0.342 0.327
F 0.171 0.829 0.327
F 0.342 0.171 0.673
F 0.500 0.000 0.000
F 0.500 0.500 0.000
F 0.658 0.829 0.327
F 0.829 0.171 0.673
F 0.829 0.658 0.673